Here is a relaxed Pm3Pr4Er4 crystal from the Alexandria database. Energies are from PBE-GGA.

It has space group C2/m (No. 12), with a = 39.964 Å, b = 5.106 Å, c = 3.632 Å, α = 90.00°, β = 95.17° and γ = 90.00°. Symmetry generates all atoms from Pm at (0.000, 0.000, 0.000), Pm at (0.137, 0.500, 0.637), Pr at (0.046, 0.500, 0.546), Pr at (0.183, 0.000, 0.183), Er at (0.092, 0.000, 0.092) and Er at (0.228, 0.500, 0.728).

The energy above the most stable polymorph in this dataset comes out at 0 meV/atom.

Here is a relaxed Pm8PrEr6 crystal from the Alexandria database. Energies are from PBE-GGA.

It has space group R-3 (No. 148, hexagonal axes), with a = 9.0931 Å, b = 9.0931 Å, c = 20.9013 Å, α = 90.00°, β = 90.00° and γ = 120.00°. Symmetry generates all atoms from Pm at (0.0000, 0.0000, 0.0774), Pm at (0.0805, 0.5570, 0.3067), Pr at (0.0000, 0.0000, 0.5000) and Er at (0.0449, 0.2417, 0.2058).

The uncorrected energy is -4.55 eV per atom.

Here is a relaxed Pm2PrEr crystal from the Alexandria database. Energies are from PBE-GGA.

It has space group P4/mmm (No. 123), with a = 3.631 Å, b = 3.631 Å, c = 10.280 Å, α = 90.00°, β = 90.00° and γ = 90.00°. Symmetry generates all atoms from Pm at (0.000, 0.000, 0.243), Pr at (0.500, 0.500, 0.500) and Er at (0.500, 0.500, 0.000).

The energy above the most stable polymorph in this dataset comes out at 4 meV/atom.

Here is a relaxed Pm2Pr7Er crystal from the Alexandria database. Energies are from PBE-GGA.

It has space group Cmmm (No. 65), with a = 8.856 Å, b = 17.034 Å, c = 5.557 Å, α = 90.00°, β = 90.00° and γ = 90.00°. Symmetry generates all atoms from Pm at (0.000, 0.205, 0.000), Pr at (0.000, 0.000, 0.000), Pr at (0.000, 0.284, 0.500), Pr at (0.181, 0.390, 0.000) and Er at (0.000, 0.500, 0.500).

The uncorrected energy is -4.14 eV per atom.

Here is a relaxed PmPr4Er5 crystal from the Alexandria database. Energies are from PBE-GGA.

It has space group P4/mmm (No. 123), with a = 3.625 Å, b = 3.625 Å, c = 25.157 Å, α = 90.00°, β = 90.00° and γ = 90.00°. Symmetry generates all atoms from Pm at (0.000, 0.000, 0.000), Pr at (0.000, 0.000, 0.199), Pr at (0.000, 0.000, 0.400), Er at (0.500, 0.500, 0.099), Er at (0.500, 0.500, 0.299) and Er at (0.500, 0.500, 0.500).

The energy above the most stable polymorph in this dataset comes out at 0 meV/atom.

Here is a relaxed Pm2Pr8Er3 crystal from the Alexandria database. Energies are from PBE-GGA.

It has space group C2/m (No. 12), with a = 13.560 Å, b = 11.861 Å, c = 6.181 Å, α = 90.00°, β = 113.73° and γ = 90.00°. Symmetry generates all atoms from Pm at (0.188, 0.000, 0.337), Pr at (0.085, 0.000, 0.760), Pr at (0.138, 0.500, 0.109), Pr at (0.161, 0.262, 0.655), Er at (0.000, 0.234, 0.000) and Er at (0.000, 0.500, 0.500).

The energy above the most stable polymorph in this dataset comes out at 0 meV/atom.

Here is a relaxed PmPr5Er5 crystal from the Alexandria database. Energies are from PBE-GGA.

It has space group C2/m (No. 12), with a = 19.052 Å, b = 6.017 Å, c = 7.079 Å, α = 90.00°, β = 111.65° and γ = 90.00°. Symmetry generates all atoms from Pm at (0.000, 0.000, 0.000), Pr at (0.000, 0.500, 0.000), Pr at (0.176, 0.000, 0.420), Pr at (0.176, 0.000, 0.933), Er at (0.000, 0.000, 0.500), Er at (0.122, 0.500, 0.623) and Er at (0.169, 0.500, 0.170).

The uncorrected energy is -4.42 eV per atom.

Here is a relaxed Pm3Pr3Er2 crystal from the Alexandria database. Energies are from PBE-GGA.

It has space group C2/m (No. 12), with a = 16.702 Å, b = 5.820 Å, c = 6.068 Å, α = 90.00°, β = 111.13° and γ = 90.00°. Symmetry generates all atoms from Pm at (0.000, 0.000, 0.000), Pm at (0.135, 0.000, 0.580), Pr at (0.000, 0.500, 0.500), Pr at (0.135, 0.500, 0.191) and Er at (0.250, 0.000, 0.182).

The energy above the most stable polymorph in this dataset comes out at 41 meV/atom.

Here is a relaxed Pm6PrEr12 crystal from the Alexandria database. Energies are from PBE-GGA.

It has space group R-3 (No. 148, hexagonal axes), with a = 15.5231 Å, b = 15.5231 Å, c = 8.7218 Å, α = 90.00°, β = 90.00° and γ = 120.00°. Symmetry generates all atoms from Pm at (0.0353, 0.2797, 0.3340), Pr at (0.0000, 0.0000, 0.0000), Er at (0.0178, 0.1402, 0.6663) and Er at (0.0704, 0.5612, 0.6665).

The energy above the most stable polymorph in this dataset comes out at 0 meV/atom.

Here is a relaxed Pm2Pr4Er3 crystal from the Alexandria database. Energies are from PBE-GGA.

It has space group P-1 (No. 2), with a = 3.632 Å, b = 8.138 Å, c = 10.855 Å, α = 77.09°, β = 89.98° and γ = 77.13°. Symmetry generates all atoms from Pm at (0.167, 0.167, 0.224), Pr at (0.166, 0.168, 0.889), Pr at (0.499, 0.502, 0.665), Er at (0.168, 0.163, 0.554) and Er at (0.500, 0.500, 0.000).

The energy above the most stable polymorph in this dataset comes out at 0 meV/atom.

Here is a relaxed Pm2Pr2Er7 crystal from the Alexandria database. Energies are from PBE-GGA.

It has space group C2/m (No. 12), with a = 11.274 Å, b = 11.612 Å, c = 6.088 Å, α = 90.00°, β = 113.97° and γ = 90.00°. Symmetry generates all atoms from Pm at (0.000, 0.210, 0.000), Pr at (0.100, 0.500, 0.312), Er at (0.000, 0.000, 0.500), Er at (0.173, 0.238, 0.677) and Er at (0.232, 0.000, 0.075).

The uncorrected energy is -4.49 eV per atom.

Here is a relaxed Pm3Pr6Er2 crystal from the Alexandria database. Energies are from PBE-GGA.

It has space group I4/mmm (No. 139), with a = 4.817 Å, b = 4.817 Å, c = 34.313 Å, α = 90.00°, β = 90.00° and γ = 90.00°. Symmetry generates all atoms from Pm at (0.000, 0.000, 0.000), Pm at (0.000, 0.000, 0.195), Pr at (0.000, 0.000, 0.295), Pr at (0.000, 0.500, 0.119) and Er at (0.000, 0.000, 0.455).

The uncorrected energy is -4.45 eV per atom.

no.,magnetization (μB/atom),DOS at the Fermi energy (states/eV/atom)
1,0.000,1.360
2,0.000,1.500
3,0.000,1.417
4,0.000,1.580
5,0.000,1.396
6,0.000,1.561
7,0.039,1.607
8,0.000,1.573
9,0.000,1.305
10,0.000,1.325
11,0.000,1.611
12,0.000,1.570